Computed, not measured: a relaxed structure of VHgRh2F at the GGA+U level of DFT.

Cell: 4.192 4.192 4.818 Å, 90.00 90.00 90.00°
Element x y z (fractional)
1 V 0.000 0.000 0.000
2 Hg 0.500 0.500 0.000
3 Rh 0.000 0.500 0.500
4 Rh 0.500 0.000 0.500
5 F 0.500 0.500 0.500

## Properties
Electronic total energy ... -20.20 eV per cell